# 1
BaLaSi3Au: relaxed, PBE.

Geometry as POSCAR:
```
BaLaSi3Au
1.0
1.6861 6.1975 5.9319
-3.2786 2.6229 7.4082
3.6392 -2.0029 4.7276
La Au Si Ba
2 2 6 2
Direct
0.2397 0.7603 0.2397
0.7603 0.2397 0.7603
0.6633 0.6633 0.3367
0.3367 0.3367 0.6633
0.8408 0.8408 0.1592
0.1592 0.1592 0.8408
0.6762 0.1656 0.3238
0.1656 0.6762 0.8344
0.3238 0.8344 0.6762
0.8344 0.3238 0.1656
0.7500 0.7500 0.7500
0.2500 0.2500 0.2500
```

- Total magnetic moment: 0.01 Bohr magnetons per cell
- Energy above the most stable polymorph in this dataset: 0.0 meV/atom
- Energy: -5.07 eV/atom
- Symmetry: Fmmm, No. 69

# 2
CsAg3SnSe4: relaxed, PBE.

Geometry as POSCAR:
```
CsAg3SnSe4
1.0
-2.5842 1.2886 6.1181
1.1777 -6.4013 1.8457
6.1404 1.7700 2.2208
Se Ag Cs Sn
4 3 1 1
Direct
0.2840 0.7160 0.7160
0.7160 0.2840 0.7160
0.7160 0.7160 0.2840
0.2840 0.2840 0.2840
0.5000 0.5000 0.0000
0.0000 0.5000 0.5000
0.5000 0.0000 0.5000
0.0000 0.0000 0.0000
0.5000 0.5000 0.5000
```

- Energy above the most stable polymorph in this dataset: 76.5 meV/atom
- Energy: -3.39 eV/atom
- Symmetry: P-43m, No. 215

# 3
LaAl4Ga2Pt: relaxed, PBE.

Geometry as POSCAR:
```
LaAl4Ga2Pt
1.0
-4.1540 1.0885 0.4017
-0.2409 -2.2699 3.6595
2.1684 6.6910 4.2931
Ga Al Pt La
2 4 1 1
Direct
0.5000 0.5000 0.8511
0.5000 0.5000 0.1489
0.5000 0.0000 0.6685
0.0000 0.5000 0.3315
0.5000 0.0000 0.3315
0.0000 0.5000 0.6685
0.0000 0.0000 0.5000
0.0000 0.0000 0.0000
```

- Total magnetic moment: 0.02 Bohr magnetons per cell
- Energy: -4.71 eV/atom
- Symmetry: P4/mmm, No. 123

# 4
ZrZnCuRe: relaxed, PBE.

Geometry as POSCAR:
```
ZrZnCuRe
1.0
0.0000 3.1769 3.1769
3.1769 0.0000 3.1769
3.1769 3.1769 0.0000
Re Cu Zn Zr
1 1 1 1
Direct
0.2500 0.2500 0.2500
0.7500 0.7500 0.7500
0.0000 0.0000 0.0000
0.5000 0.5000 0.5000
```

- Total magnetic moment: 0.00 Bohr magnetons per cell
- Energy above the most stable polymorph in this dataset: 0.0 meV/atom
- Energy: -6.30 eV/atom
- ΔH_f (0 K): 0.19 eV/atom
- Symmetry: F-43m, No. 216

# 5
NaFeAs: relaxed, PBE.

Geometry as POSCAR:
```
NaFeAs
1.0
1.9313 -6.4728 0.0000
1.9313 6.4728 0.0000
0.0000 0.0000 4.0128
Fe As Na
2 2 2
Direct
0.2489 0.7511 0.7500
0.7511 0.2489 0.2500
0.8481 0.1519 0.7500
0.1519 0.8481 0.2500
0.5780 0.4220 0.7500
0.4220 0.5780 0.2500
```

- Total magnetic moment: 0.04 Bohr magnetons per cell
- Energy above the most stable polymorph in this dataset: 0.0 meV/atom
- Energy: -4.97 eV/atom
- Symmetry: Cmcm, No. 63

# 6
PmTlSeO: relaxed, PBE.

Geometry as POSCAR:
```
PmTlSeO
1.0
-1.0884 -3.9789 3.7650
-2.4671 -3.0417 -3.9277
11.5229 -1.8489 -5.8060
Se Pm O Tl
4 4 4 4
Direct
0.2301 0.2420 0.2532
0.7699 0.7420 0.7468
0.2703 0.2408 0.7471
0.7297 0.7407 0.2529
0.9136 0.2458 0.9012
0.0864 0.7458 0.0988
0.4136 0.7459 0.9012
0.5864 0.2459 0.0988
0.2499 0.4959 0.0000
0.7500 0.4957 0.0000
0.7501 0.9959 0.0000
0.2500 0.9957 0.0000
0.6034 0.2194 0.6062
0.3966 0.7194 0.3938
0.8971 0.2146 0.3940
0.1029 0.7146 0.6060
```

- Total magnetic moment: 0.01 Bohr magnetons per cell
- Energy above the most stable polymorph in this dataset: 0.0 meV/atom
- Energy: -5.87 eV/atom
- Symmetry: P2_1, No. 4